No. 1
# Sr2YNi | the Alexandria database | PBE | relaxed
data_Sr2YNi
_chemical_formula_sum 'Sr4 Y2 Ni2'
_cell_length_a 4.689
_cell_length_b 4.689
_cell_length_c 11.222
_cell_angle_alpha 90.00
_cell_angle_beta 90.00
_cell_angle_gamma 90.00
_symmetry_space_group_name_H-M 'I 4/m m m'
_symmetry_Int_Tables_number 139
_symmetry_space_group_name_Hall '-I 4 2'
loop_
_atom_site_label
_atom_site_type_symbol
_atom_site_fract_x
_atom_site_fract_y
_atom_site_fract_z
_atom_site_occupancy
Sr1 Sr 0.000 0.500 0.250 1
Y1 Y 0.000 0.000 0.000 1
Ni1 Ni 0.000 0.000 0.500 1
# formation energy = 445 meV/atom
# distance to the lowest polymorph of the same formula = 460.9 meV per atom
# electronic total energy = -3.46 eV/atom
# volume = 247 Å³/cell
# size of the total moment = 0.0 μB per cell

No. 2
# LiMgSe2N | the Alexandria database | PBE | relaxed
data_LiMgSe2N
_chemical_formula_sum 'Li1 Mg1 Se2 N1'
_cell_length_a 5.226
_cell_length_b 5.226
_cell_length_c 4.097
_cell_angle_alpha 90.00
_cell_angle_beta 90.00
_cell_angle_gamma 90.00
_symmetry_space_group_name_H-M 'P 4/m m m'
_symmetry_Int_Tables_number 123
_symmetry_space_group_name_Hall '-P 4 2'
loop_
_atom_site_label
_atom_site_type_symbol
_atom_site_fract_x
_atom_site_fract_y
_atom_site_fract_z
_atom_site_occupancy
Li1 Li 0.000 0.000 0.000 1
Mg1 Mg 0.500 0.500 0.500 1
Se1 Se 0.000 0.500 0.500 1
N1 N 0.500 0.500 0.000 1
# distance to the lowest polymorph of the same formula = 0.0 meV per atom
# electronic total energy = -3.43 eV/atom
# energy relative to the elements, uncorrected = 335 meV/atom
# volume = 112 Å³/cell
# size of the total moment = 3.4 μB per cell

No. 3
# YSc2Ni2 | the Alexandria database | PBE | relaxed
data_YSc2Ni2
_chemical_formula_sum 'Y2 Sc4 Ni4'
_cell_length_a 7.809
_cell_length_b 7.809
_cell_length_c 3.038
_cell_angle_alpha 90.00
_cell_angle_beta 90.00
_cell_angle_gamma 90.00
_symmetry_space_group_name_H-M 'P 4/m b m'
_symmetry_Int_Tables_number 127
_symmetry_space_group_name_Hall '-P 4 2ab'
loop_
_atom_site_label
_atom_site_type_symbol
_atom_site_fract_x
_atom_site_fract_y
_atom_site_fract_z
_atom_site_occupancy
Y1 Y 0.000 0.000 0.000 1
Sc1 Sc 0.135 0.365 0.000 1
Ni1 Ni 0.160 0.660 0.500 1
# formation energy = -217 meV/atom
# distance to the lowest polymorph of the same formula = 124.7 meV per atom
# electronic total energy = -6.36 eV/atom
# volume = 185 Å³/cell
# size of the total moment = 0.0 μB per cell

No. 4
# NdEr4Hg | the Alexandria database | PBE | relaxed
data_NdEr4Hg
_chemical_formula_sum 'Nd1 Er4 Hg1'
_cell_length_a 3.570
_cell_length_b 3.570
_cell_length_c 13.973
_cell_angle_alpha 90.00
_cell_angle_beta 90.00
_cell_angle_gamma 90.00
_symmetry_space_group_name_H-M 'P 4/m m m'
_symmetry_Int_Tables_number 123
_symmetry_space_group_name_Hall '-P 4 2'
loop_
_atom_site_label
_atom_site_type_symbol
_atom_site_fract_x
_atom_site_fract_y
_atom_site_fract_z
_atom_site_occupancy
Nd1 Nd 0.000 0.000 0.000 1
Er1 Er 0.000 0.000 0.358 1
Er2 Er 0.500 0.500 0.181 1
Hg1 Hg 0.500 0.500 0.500 1
# formation energy = -140 meV/atom
# distance to the lowest polymorph of the same formula = 0.0 meV per atom
# electronic total energy = -4.03 eV/atom
# volume = 178 Å³/cell
# size of the total moment = 0.0 μB per cell

No. 5
# HfTc2RhC | the Alexandria database | PBE | relaxed
data_HfTc2RhC
_chemical_formula_sum 'Hf1 Tc2 Rh1 C1'
_cell_length_a 4.141
_cell_length_b 4.141
_cell_length_c 4.085
_cell_angle_alpha 90.00
_cell_angle_beta 90.00
_cell_angle_gamma 90.00
_symmetry_space_group_name_H-M 'P 4/m m m'
_symmetry_Int_Tables_number 123
_symmetry_space_group_name_Hall '-P 4 2'
loop_
_atom_site_label
_atom_site_type_symbol
_atom_site_fract_x
_atom_site_fract_y
_atom_site_fract_z
_atom_site_occupancy
Hf1 Hf 0.000 0.000 0.000 1
Tc1 Tc 0.000 0.500 0.500 1
Rh1 Rh 0.500 0.500 0.000 1
C1 C 0.500 0.500 0.500 1
# formation energy = -335 meV/atom
# electronic total energy = -9.79 eV/atom
# volume = 70 Å³/cell
# size of the total moment = 0.0 μB per cell

No. 6
# SiBiIr2 | the Alexandria database | PBE | relaxed
data_SiBiIr2
_chemical_formula_sum 'Si4 Bi4 Ir8'
_cell_length_a 6.499
_cell_length_b 6.499
_cell_length_c 6.499
_cell_angle_alpha 90.00
_cell_angle_beta 90.00
_cell_angle_gamma 90.00
_symmetry_space_group_name_H-M 'F m -3 m'
_symmetry_Int_Tables_number 225
_symmetry_space_group_name_Hall '-F 4 2 3'
loop_
_atom_site_label
_atom_site_type_symbol
_atom_site_fract_x
_atom_site_fract_y
_atom_site_fract_z
_atom_site_occupancy
Si1 Si 0.000 0.000 0.000 1
Bi1 Bi 0.000 0.000 0.500 1
Ir1 Ir 0.250 0.250 0.250 1
# distance to the lowest polymorph of the same formula = 237.5 meV per atom
# electronic total energy = -6.32 eV/atom
# energy relative to the elements, uncorrected = 437 meV/atom
# volume = 274 Å³/cell
# size of the total moment = 0.0 μB per cell